DFT (PBE) results for a geometry-optimized Gd2DyMg4Al2 structure.

Total DFT energy (no corrections) (eV/atom): -3.298

a b c (Å): 4.5869 7.5006 7.5006
angles (deg): 119.76 90.00 90.00
With the nearest neighbours (Å) after each atom.
Fractional positions:
1 Gd 0.0000 0.2172 0.7828  4 Al 3.20, 3 Mg 3.27-3.30
2 Gd 0.0000 0.7828 0.2172  4 Al 3.20, 3 Mg 3.27-3.30
3 Dy 0.0000 0.3475 0.3475  4 Al 3.18, 3 Mg 3.26-3.30
4 Mg 0.0000 0.7808 0.7808  6 Mg 2.96-2.97, 1 Dy 3.26, 2 Gd 3.27
5 Mg 0.5000 0.0321 0.0321  2 Al 2.86, 2 Mg 2.97
6 Mg 0.5000 0.5324 0.7820  2 Al 2.87-2.88, 2 Mg 2.96
7 Mg 0.5000 0.7820 0.5324  2 Al 2.87-2.88, 2 Mg 2.96
8 Al 0.5000 0.1169 0.4489  3 Mg 2.86-2.88, 2 Dy 3.18, 4 Gd 3.20
9 Al 0.5000 0.4489 0.1169  3 Mg 2.86-2.88, 2 Dy 3.18, 4 Gd 3.20